1.
Compound: HoCo2P
Source: Alexandria
Functional: PBE
Structure: optimized geometry

Lattice parameters (Å, degrees): 3.668 3.668 8.809 90.00 90.00 90.00
Space group P4/nmm (No. 129, origin choice 2)
One atom of each set of equivalent atoms:
Ho1 0.250 0.250 0.216 [2 per cell]
Co1 0.250 0.250 0.899 [2 per cell]
Co2 0.250 0.750 0.500 [2 per cell]
P1 0.250 0.250 0.649 [2 per cell]

Summary:
density of states at the Fermi level = 6.6 states/eV/cell
formation energy = -0.6490 eV/atom
uncorrected energy = -53.6 eV per cell
magnetic moment = 0.10 μB per formula unit

2.
Compound: Sc2CrRh
Source: Alexandria
Functional: PBE
Structure: optimized geometry

Lattice parameters (Å, degrees): 6.558 6.558 6.558 90.00 90.00 90.00
Space group Fm-3m (No. 225)
One atom of each set of equivalent atoms:
Sc1 0.250 0.250 0.250 [8 per cell]
Cr1 0.000 0.000 0.000 [4 per cell]
Rh1 0.000 0.000 0.500 [4 per cell]

Summary:
excess energy over the best structure of this formula in the dataset = 23 meV per atom
density of states at the Fermi level = 5.3 states/eV/cell
formation energy = -0.3534 eV/atom
uncorrected energy = -124.2 eV per cell
magnetic moment = 3.21 μB per formula unit

3.
Compound: La2CoRh
Source: Alexandria
Functional: PBE
Structure: optimized geometry

Lattice parameters (Å, degrees): 4.043 3.970 11.470 90.00 90.00 90.00
Space group Amm2 (No. 38)
One atom of each set of equivalent atoms:
La1 0.000 0.000 0.000 [2 per cell]
La2 0.500 0.000 0.278 [2 per cell]
Co1 0.000 0.000 0.720 [2 per cell]
Rh1 0.500 0.000 0.564 [2 per cell]

Summary:
excess energy over the best structure of this formula in the dataset = 0 meV per atom
density of states at the Fermi level = 5.3 states/eV/cell
formation energy = -0.3924 eV/atom
uncorrected energy = -51.8 eV per cell
magnetic moment = 0.00 μB per formula unit